Mg3In2Sn3 | PBE | optimized geometry

a b c (Å): 6.0053 6.0015 5.7953
angles (deg): 94.56 94.42 101.14
Sites, in units of the cell vectors:
Sn1 0.2768 0.7240 0.4998
Mg1 0.0269 0.2833 0.2150
Mg2 0.2071 0.7927 0.9998
Mg3 0.7173 0.9720 0.7856
Sn2 0.7638 0.4768 0.7746
In1 0.7635 0.7776 0.2782
Sn3 0.5220 0.2367 0.2251
In2 0.2226 0.2370 0.7220

- N(E_F): 0.4450 states/eV/atom
- VASP energy: -2.811 eV/atom
- Total moment: 0.0000 μB/atom
- Energy above the lowest structure with this stoichiometry: 46 meV per atom
- E_form: -27 meV/atom